a) This record from the Alexandria database describes MnBiF3 after structural relaxation. The functional is PBE with a Hubbard U.

Computed properties:
* SG: Pm-3m (221)
* magnetic moment: 5.000 μB per cell
* V: 95 Å³/cell
* density of states at the Fermi level: 0.4 states/eV/f.u.

Lattice parameters (Å, degrees): 4.569 4.569 4.569 90.00 90.00 90.00
Positions (direct):
Mn 0.000 0.000 0.000
Bi 0.500 0.500 0.500
F 0.000 0.500 0.500
F 0.500 0.000 0.500
F 0.500 0.500 0.000

***

b) This record from the Alexandria database describes MnBiF3 after structural relaxation. The functional is PBE with a Hubbard U.

Computed properties:
* SG: Pm-3m (221)
* magnetic moment: 5.007 μB per cell
* V: 80 Å³/cell
* density of states at the Fermi level: 2.2 states/eV/f.u.

Lattice parameters (Å, degrees): 4.307 4.307 4.307 90.00 90.00 90.00
Positions (direct):
Mn 0.000 0.000 0.000
Bi 0.500 0.500 0.500
F 0.000 0.000 0.500
F 0.000 0.500 0.000
F 0.500 0.000 0.000

***

Most stable structure - b); separation to the second - 39.2 kJ/mol of atoms.

***

a) This record from the Alexandria database describes Mn3BiF after structural relaxation. The functional is PBE with a Hubbard U.

Computed properties:
* SG: Pm-3m (221)
* magnetic moment: 14.517 μB per cell
* V: 105 Å³/cell
* density of states at the Fermi level: 3.9 states/eV/f.u.

Lattice parameters (Å, degrees): 4.715 4.715 4.715 90.00 90.00 90.00
Positions (direct):
Mn 0.000 0.000 0.500
Mn 0.000 0.500 0.000
Mn 0.500 0.000 0.000
Bi 0.500 0.500 0.500
F 0.000 0.000 0.000

***

b) This record from the Alexandria database describes Mn3BiF after structural relaxation. The functional is PBE with a Hubbard U.

Computed properties:
* SG: Pm-3m (221)
* magnetic moment: 15.344 μB per cell
* V: 182 Å³/cell
* density of states at the Fermi level: 2.7 states/eV/f.u.

Lattice parameters (Å, degrees): 5.666 5.666 5.666 90.00 90.00 90.00
Positions (direct):
Mn 0.000 0.000 0.500
Mn 0.000 0.500 0.000
Mn 0.500 0.000 0.000
Bi 0.000 0.000 0.000
F 0.500 0.500 0.500

***

Most stable structure - a); separation to the second - 70.2 kJ/mol of atoms.

***

a) This record from the Alexandria database describes Mn2BiF after structural relaxation. The functional is PBE with a Hubbard U.

Computed properties:
* SG: I-42d (122)
* magnetic moment: 19.905 μB per cell
* V: 194 Å³/cell
* density of states at the Fermi level: 0.4 states/eV/f.u.

Lattice parameters (Å, degrees): 7.509 7.509 7.509 137.05 137.05 62.36
Positions (direct):
Mn 0.023 0.625 0.898
Mn 0.375 0.273 0.398
Mn 0.727 0.125 0.102
Mn 0.875 0.977 0.602
Bi 0.250 0.750 0.500
Bi 0.500 0.500 0.000
F 0.000 0.000 0.000
F 0.750 0.250 0.500

***

b) This record from the Alexandria database describes Mn2BiF after structural relaxation. The functional is PBE with a Hubbard U.

Computed properties:
* SG: Fm-3m (225)
* magnetic moment: 9.986 μB per cell
* V: 82 Å³/cell
* density of states at the Fermi level: 0.3 states/eV/f.u.

Lattice parameters (Å, degrees): 4.872 4.872 4.872 60.00 60.00 60.00
Positions (direct):
Mn 0.250 0.250 0.250
Mn 0.750 0.750 0.750
Bi 0.000 0.000 0.000
F 0.500 0.500 0.500

***

Most stable structure - a); separation to the second - 11.9 kJ/mol of atoms.

***

a) This record from the Alexandria database describes MnBiN2F after structural relaxation. The functional is PBE with a Hubbard U.

Computed properties:
* SG: P4/mmm (123)
* magnetic moment: 5.004 μB per cell
* V: 82 Å³/cell
* density of states at the Fermi level: 0.7 states/eV/f.u.

Lattice parameters (Å, degrees): 4.335 4.335 4.360 90.00 90.00 90.00
Positions (direct):
Mn 0.000 0.000 0.000
Bi 0.500 0.500 0.500
N 0.000 0.500 0.500
N 0.500 0.000 0.500
F 0.500 0.500 0.000

***

b) This record from the Alexandria database describes MnBiN2F after structural relaxation. The functional is PBE with a Hubbard U.

Computed properties:
* SG: P4/mmm (123)
* magnetic moment: 3.071 μB per cell
* V: 63 Å³/cell
* density of states at the Fermi level: 2.1 states/eV/f.u.

Lattice parameters (Å, degrees): 4.032 4.032 3.906 90.00 90.00 90.00
Positions (direct):
Mn 0.000 0.000 0.000
Bi 0.500 0.500 0.500
N 0.000 0.500 0.000
N 0.500 0.000 0.000
F 0.000 0.000 0.500

***

Most stable structure - b); separation to the second - 55.6 kJ/mol of atoms.

***

a) This record from the Alexandria database describes MnBiNF2 after structural relaxation. The functional is PBE with a Hubbard U.

Computed properties:
* SG: P4/mmm (123)
* magnetic moment: 4.561 μB per cell
* V: 70 Å³/cell
* density of states at the Fermi level: 1.5 states/eV/f.u.

Lattice parameters (Å, degrees): 4.045 4.045 4.308 90.00 90.00 90.00
Positions (direct):
Mn 0.000 0.000 0.000
Bi 0.500 0.500 0.500
N 0.000 0.000 0.500
F 0.000 0.500 0.000
F 0.500 0.000 0.000

***

b) This record from the Alexandria database describes MnBiNF2 after structural relaxation. The functional is PBE with a Hubbard U.

Computed properties:
* SG: P4/mmm (123)
* magnetic moment: 5.373 μB per cell
* V: 95 Å³/cell
* density of states at the Fermi level: 1.2 states/eV/f.u.

Lattice parameters (Å, degrees): 4.517 4.517 4.647 90.00 90.00 90.00
Positions (direct):
Mn 0.000 0.000 0.000
Bi 0.500 0.500 0.500
N 0.500 0.500 0.000
F 0.000 0.500 0.500
F 0.500 0.000 0.500

***

Most stable structure - a); separation to the second - 45.0 kJ/mol of atoms.

***

a) This record from the Alexandria database describes MnBiOF2 after structural relaxation. The functional is PBE with a Hubbard U.

Computed properties:
* SG: P4/mmm (123)
* magnetic moment: 5.997 μB per cell
* V: 98 Å³/cell
* density of states at the Fermi level: 0.1 states/eV/f.u.

Lattice parameters (Å, degrees): 4.650 4.650 4.523 90.00 90.00 90.00
Positions (direct):
Mn 0.000 0.000 0.000
Bi 0.500 0.500 0.500
O 0.500 0.500 0.000
F 0.000 0.500 0.500
F 0.500 0.000 0.500

***

b) This record from the Alexandria database describes MnBiOF2 after structural relaxation. The functional is PBE with a Hubbard U.

Computed properties:
* SG: P4/mmm (123)
* magnetic moment: 4.620 μB per cell
* V: 73 Å³/cell
* density of states at the Fermi level: 2.6 states/eV/f.u.

Lattice parameters (Å, degrees): 4.168 4.168 4.202 90.00 90.00 90.00
Positions (direct):
Mn 0.000 0.000 0.000
Bi 0.500 0.500 0.500
O 0.000 0.000 0.500
F 0.000 0.500 0.000
F 0.500 0.000 0.000

***

Most stable structure - b); separation to the second - 32.7 kJ/mol of atoms.